Li2AlAgF6: relaxed, PBE.

* density of states at the Fermi level: 0.0000 states/eV per atom
* ΔE to the lowest computed polymorph: 0.2754 eV per atom
* formation energy from raw total energies: -243 kJ per mole of atoms
* calculated density: 3021 kg/m3

```
Li2AlAgF6
1.0
0.000 4.164 4.164
4.164 0.000 4.164
4.164 4.164 0.000
F Ag Li Al
6 1 2 1
Cartesian
4.164 6.514 4.164
1.814 4.164 4.164
4.164 4.164 1.814
6.514 4.164 4.164
4.164 1.814 4.164
4.164 4.164 6.514
4.164 4.164 4.164
2.082 2.082 2.082
6.246 6.246 6.246
0.000 0.000 0.000
```